Record 1
Entry from Alexandria: crystalline PrHo2C at its relaxed geometry (PBE).

Structure (extended XYZ):
```
12
Lattice="3.528 0.000 0.000 -1.764 3.055 0.000 0.000 0.000 29.586" Properties=species:S:1:pos:R:3 pbc="T T T"
Pr 0.000 0.000 0.000
Pr 0.000 2.037 19.724
Pr 1.764 1.018 9.862
Ho 0.000 0.000 3.591
Ho 0.000 0.000 25.995
Ho 0.000 2.037 16.133
Ho 0.000 2.037 23.315
Ho 1.764 1.018 6.271
Ho 1.764 1.018 13.453
C 0.000 0.000 14.793
C 0.000 2.037 4.931
C 1.764 1.018 24.655
```

Results
Symmetry: No. 166
Uncorrected energy, eV/atom: -5.910
Offset from the most stable computed form, eV per atom: 0.071

---

Record 2
Entry from Alexandria: crystalline AlNiSe2 at its relaxed geometry (PBE).

Structure (extended XYZ):
```
4
Lattice="3.481 0.000 0.000 0.000 3.506 0.000 0.000 0.000 6.961" Properties=species:S:1:pos:R:3 pbc="T T T"
Al 0.000 0.000 0.000
Ni 0.000 1.753 3.481
Se 1.740 0.000 3.481
Se 1.740 1.753 0.000
```

Results
Symmetry: No. 47
Uncorrected energy, eV/atom: -4.097
Uncorrected formation energy, eV/atom: 0.026

---

Record 3
Entry from Alexandria: crystalline Tb4Pm9Cd11 at its relaxed geometry (PBE).

Structure (extended XYZ):
```
24
Lattice="8.033 -11.617 0.000 8.033 11.617 0.000 0.000 0.000 3.604" Properties=species:S:1:pos:R:3 pbc="T T T"
Tb 2.544 2.071 0.000
Tb 2.544 -2.071 0.000
Tb 13.522 2.071 0.000
Tb 13.522 -2.071 0.000
Pm 0.000 0.000 0.000
Pm 6.215 6.120 0.000
Pm 6.118 2.049 0.000
Pm 9.852 6.120 0.000
Pm 6.118 -2.049 0.000
Pm 9.949 2.049 0.000
Pm 6.215 -6.120 0.000
Pm 9.949 -2.049 0.000
Pm 9.852 -6.120 0.000
Cd 4.270 4.177 1.802
Cd 8.033 8.535 1.802
Cd 4.220 0.000 1.802
Cd 8.033 4.006 1.802
Cd 4.270 -4.177 1.802
Cd 8.033 0.000 1.802
Cd 11.796 4.177 1.802
Cd 8.033 -4.006 1.802
Cd 11.847 0.000 1.802
Cd 8.033 -8.535 1.802
Cd 11.796 -4.177 1.802
```

Results
Symmetry: No. 65
Uncorrected energy, eV/atom: -3.217